Version P
# DyY4Co PBE relaxed
data_DyY4Co
_cell_length_a 4.687
_cell_length_b 4.687
_cell_length_c 8.838
_cell_angle_alpha 90.00
_cell_angle_beta 90.00
_cell_angle_gamma 90.00
_space_group_name_H-M_alt 'P 1'
_space_group_IT_number 1
_space_group_name_Hall 'P 1'
loop_
_atom_site_label
_atom_site_type_symbol
_atom_site_fract_x
_atom_site_fract_y
_atom_site_fract_z
_atom_site_occupancy
Dy1 Dy 0.000 0.000 0.000 1
Y1 Y 0.000 0.500 0.318 1
Y2 Y 0.000 0.500 0.682 1
Y3 Y 0.500 0.000 0.318 1
Y4 Y 0.500 0.000 0.682 1
Co1 Co 0.500 0.500 0.500 1
# Crystal system = tetragonal

=====

Version Q
# DyY4Co PBE relaxed
data_DyY4Co
_cell_length_a 9.331
_cell_length_b 9.331
_cell_length_c 9.331
_cell_angle_alpha 143.57
_cell_angle_beta 133.70
_cell_angle_gamma 60.30
_space_group_name_H-M_alt 'P 1'
_space_group_IT_number 1
_space_group_name_Hall 'P 1'
loop_
_atom_site_label
_atom_site_type_symbol
_atom_site_fract_x
_atom_site_fract_y
_atom_site_fract_z
_atom_site_occupancy
Dy1 Dy 0.196 0.196 0.000 1
Dy2 Dy 0.804 0.804 0.000 1
Y1 Y 0.128 0.381 0.747 1
Y2 Y 0.229 0.000 0.229 1
Y3 Y 0.325 0.825 0.500 1
Y4 Y 0.366 0.619 0.747 1
Y5 Y 0.634 0.381 0.253 1
Y6 Y 0.675 0.175 0.500 1
Y7 Y 0.771 0.000 0.771 1
Y8 Y 0.872 0.619 0.253 1
Co1 Co 0.500 0.308 0.808 1
Co2 Co 0.500 0.692 0.192 1
# Crystal system = orthorhombic

=====

Least stable: version P